Compound: CaBeCd2
Source: the Alexandria database
Functional: PBE
Structure: optimized geometry

Cell lengths 3.4534, 4.4193, 5.9247 Å; angles 90.00, 103.84, 90.00 degrees
Element x y z (fractional)
Ca1 0.0000 0.0000 0.0000
Be1 0.5000 0.0000 0.5000
Cd1 0.3754 0.5000 0.7139
Cd2 0.6246 0.5000 0.2861

Output
ΔH_f (0 K)	0.1053	eV/atom
crystal system	monoclinic
space group	P2/m, No. 10
calculated total energy	-1.784	eV per atom


Compound: CaBe3Cd
Source: the Alexandria database
Functional: PBE
Structure: optimized geometry

Cell lengths 4.5246, 4.5246, 4.5246 Å; angles 90.00, 90.00, 90.00 degrees
Element x y z (fractional)
Ca1 0.0000 0.0000 0.0000
Be1 0.0000 0.5000 0.5000
Be2 0.5000 0.0000 0.5000
Be3 0.5000 0.5000 0.0000
Cd1 0.5000 0.5000 0.5000

Output
ΔH_f (0 K)	0.6653	eV/atom
energy relative to the lowest polymorph listed for this composition	0.0	kJ per mole of atoms
crystal system	cubic
space group	Pm-3m, No. 221
calculated total energy	-2.154	eV per atom


Compound: CaBeCd2
Source: the Alexandria database
Functional: PBE
Structure: optimized geometry

Cell lengths 7.7491, 4.4508, 5.8971 Å; angles 90.00, 115.75, 90.00 degrees
Element x y z (fractional)
Ca1 0.0000 0.0000 0.0000
Ca2 0.5000 0.5000 0.0000
Be1 0.0000 0.5000 0.5000
Be2 0.5000 0.0000 0.5000
Cd1 0.2074 0.0000 0.6239
Cd2 0.2926 0.5000 0.3761
Cd3 0.7074 0.5000 0.6239
Cd4 0.7926 0.0000 0.3761

Output
ΔH_f (0 K)	0.0544	eV/atom
crystal system	monoclinic
space group	C2/m, No. 12
calculated total energy	-1.835	eV per atom


Compound: CaBe3Cd
Source: the Alexandria database
Functional: PBE
Structure: optimized geometry

Cell lengths 5.2071, 5.2071, 5.2071 Å; angles 90.00, 90.00, 90.00 degrees
Element x y z (fractional)
Ca1 0.0000 0.0000 0.0000
Be1 0.0000 0.0000 0.5000
Be2 0.0000 0.5000 0.0000
Be3 0.5000 0.0000 0.0000
Cd1 0.5000 0.5000 0.5000

Output
ΔH_f (0 K)	1.8651	eV/atom
energy relative to the lowest polymorph listed for this composition	115.8	kJ per mole of atoms
crystal system	cubic
space group	Pm-3m, No. 221
calculated total energy	-0.954	eV per atom